one | VASP calculation (PBE+U) on crystalline BiMo2O at its relaxed geometry.

Unit cell a=4.8396 b=4.8396 c=4.8396 alpha=60.00 beta=60.00 gamma=60.00
Closest atoms and distances in Å follow each position.
Sites, in units of the cell vectors:
Mo 0.2500 0.2500 0.2500  4 Bi 2.96, 4 O 2.96
Mo 0.7500 0.7500 0.7500  4 Bi 2.96, 4 O 2.96
Bi 0.5000 0.5000 0.5000  8 Mo 2.96
O 0.0000 0.0000 0.0000  8 Mo 2.96

Space group: Fm-3m

---

two | VASP calculation (PBE+U) on crystalline BiMo2O at its relaxed geometry.

Unit cell a=5.6488 b=5.6488 c=7.2915 alpha=67.21 beta=67.21 gamma=90.00
Closest atoms and distances in Å follow each position.
Sites, in units of the cell vectors:
Mo 0.4750 0.1250 0.2500  2 O 2.15
Mo 0.2750 0.6250 0.2500  2 O 2.15
Mo 0.3750 0.5250 0.7500  2 O 2.15
Mo 0.8750 0.7250 0.7500  2 O 2.15
Bi 0.0000 0.0000 0.0000  4 Mo 3.07
Bi 0.7500 0.2500 0.5000  4 Mo 3.07
O 0.5000 0.5000 0.0000  4 Mo 2.15
O 0.2500 0.7500 0.5000  4 Mo 2.15

Space group: I-42d

---

Result of the stability comparison: two is the most stable of them.

---

one | VASP calculation (PBE+U) on crystalline Bi2Mo2O7 at its relaxed geometry.

Unit cell a=5.3545 b=5.2055 c=5.2055 alpha=83.11 beta=90.00 gamma=90.00
Closest atoms and distances in Å follow each position.
Sites, in units of the cell vectors:
Bi 0.0000 0.2414 0.7586  6 O 2.28-2.40
Bi 0.0000 0.7586 0.2414  6 O 2.28-2.40
Mo 0.5000 0.2669 0.2669  7 O 2.08-2.21
Mo 0.5000 0.7331 0.7331  7 O 2.08-2.21
O 0.7384 0.9999 0.5000  2 Mo 2.15, 2 Bi 2.40
O 0.2616 0.5000 0.0001  2 Mo 2.15, 2 Bi 2.40
O 0.2616 0.0001 0.5000  2 Mo 2.15, 2 Bi 2.40
O 0.7384 0.5000 0.9999  2 Mo 2.15, 2 Bi 2.40
O 0.5000 0.0000 0.0000  2 Mo 2.08
O 0.2649 0.5001 0.5001  2 Mo 2.21, 2 Bi 2.28
O 0.7351 0.4999 0.4999  2 Mo 2.21, 2 Bi 2.28

Space group: Cmmm

---

two | VASP calculation (PBE+U) on crystalline Bi2Mo2O7 at its relaxed geometry.

Unit cell a=7.5139 b=7.5139 c=7.5139 alpha=60.00 beta=60.00 gamma=60.00
Closest atoms and distances in Å follow each position.
Sites, in units of the cell vectors:
Bi 0.6250 0.6250 0.6250  2 O 2.30
Bi 0.6250 0.6250 0.1250  2 O 2.30
Bi 0.6250 0.1250 0.6250  2 O 2.30
Bi 0.1250 0.6250 0.6250  2 O 2.30
Mo 0.6250 0.1250 0.1250  6 O 2.07
Mo 0.1250 0.6250 0.1250  6 O 2.07
Mo 0.1250 0.1250 0.6250  6 O 2.07
Mo 0.1250 0.1250 0.1250  6 O 2.07
O 0.2072 0.2072 0.7928  2 Mo 2.07
O 0.2072 0.7928 0.2072  2 Mo 2.07
O 0.4572 0.0428 0.4572  2 Mo 2.07
O 0.4572 0.4572 0.0428  2 Mo 2.07
O 0.7500 0.7500 0.7500  4 Bi 2.30
O 0.7928 0.2072 0.2072  2 Mo 2.07
O 0.4572 0.0428 0.0428  2 Mo 2.07
O 0.0428 0.4572 0.4572  2 Mo 2.07
O 0.0428 0.0428 0.4572  2 Mo 2.07
O 0.0428 0.4572 0.0428  2 Mo 2.07
O 0.2072 0.7928 0.7928  2 Mo 2.07
O 0.5000 0.5000 0.5000  4 Bi 2.30
O 0.7928 0.2072 0.7928  2 Mo 2.07
O 0.7928 0.7928 0.2072  2 Mo 2.07

Space group: Fd-3m

---

Result of the stability comparison: two is the most stable of them.